A plane-wave DFT calculation with PBE was carried out for crystalline Rb2ErHg2Te4 at its relaxed geometry.

Results
* calculated volume: 327.6 Å³/f.u.
* SG: No. 12
* calculated total energy: -2.97 eV/atom
* magnetization: 0.0 Bohr magnetons per cell

Unit cell a=4.500 b=9.006 c=9.089 alpha=112.58 beta=104.33 gamma=90.00
Positions (direct):
Rb1 0.129 0.581 0.259
Rb2 0.871 0.419 0.741
Er1 0.000 0.000 0.000
Hg1 0.687 0.007 0.375
Hg2 0.313 0.993 0.625
Te1 0.185 0.221 0.370
Te2 0.815 0.779 0.630
Te3 0.516 0.774 0.032
Te4 0.484 0.226 0.968



A plane-wave DFT calculation with PBE was carried out for crystalline Re2OsRh6 at its relaxed geometry.

Results
* calculated volume: 129.0 Å³/f.u.
* SG: No. 12
* calculated total energy: -8.92 eV/atom
* formation energy from the elements: -0.01 eV/atom
* magnetization: 0.0 Bohr magnetons per cell

Unit cell a=3.859 b=4.711 c=8.170 alpha=73.72 beta=90.00 gamma=114.18
Positions (direct):
Re1 0.670 0.341 0.946
Re2 0.330 0.659 0.054
Os1 0.000 0.000 0.500
Rh1 0.997 0.994 0.834
Rh2 0.664 0.329 0.275
Rh3 0.336 0.671 0.725
Rh4 0.671 0.343 0.609
Rh5 0.329 0.657 0.391
Rh6 0.003 0.006 0.166



A plane-wave DFT calculation with PBE was carried out for crystalline Zr2AlW at its relaxed geometry.

Results
* calculated volume: 77.0 Å³/f.u.
* SG: No. 65
* calculated total energy: -8.48 eV/atom
* formation energy from the elements: -0.04 eV/atom
* magnetization: 0.0 Bohr magnetons per cell

Unit cell a=2.956 b=2.956 c=9.217 alpha=90.00 beta=90.00 gamma=107.01
Positions (direct):
Zr1 0.000 0.000 0.993
Zr2 0.000 0.000 0.507
W1 0.500 0.500 0.750
Al1 0.500 0.500 0.250